# 1
{"formula": "PmPuMgTc", "functional": "PBE-GGA", "state": "optimized geometry", "lattice": [[-3.642, 1.030, -3.367], [0.097, -2.166, -4.578], [-3.417, -3.542, -1.198]], "species": ["Mg", "Pm", "Tc", "Pu"], "fractional_positions": [[0.000, 0.000, 0.000], [0.750, 0.750, 0.750], [0.500, 0.500, 0.500], [0.250, 0.250, 0.250]], "dos_ef_per_ev_atom": 2.408, "sg": "F-43m (216)", "final_energy_ry_per_atom": -0.5560}

# 2
{"formula": "Cs2ScPdO4", "functional": "PBE-GGA", "state": "optimized geometry", "lattice": [[5.655, 0.000, 0.000], [2.828, 6.736, 0.000], [2.828, 0.000, 11.254]], "species": ["Cs", "Cs", "Cs", "Cs", "Sc", "Sc", "Pd", "Pd", "O", "O", "O", "O", "O", "O", "O", "O"], "fractional_positions": [[0.183, 0.000, 0.633], [0.817, 0.000, 0.367], [0.567, 0.500, 0.867], [0.933, 0.500, 0.133], [0.750, 0.500, 0.500], [0.000, 0.000, 0.000], [0.250, 0.500, 0.500], [0.500, 0.000, 0.000], [0.317, 0.804, 0.052], [0.173, 0.196, 0.948], [0.879, 0.804, 0.948], [0.631, 0.196, 0.052], [0.433, 0.696, 0.448], [0.577, 0.304, 0.552], [0.871, 0.696, 0.552], [0.119, 0.304, 0.448]], "dos_ef_per_ev_atom": 0.439, "sg": "Fddd (70)", "final_energy_ry_per_atom": -0.4147}

# 3
{"formula": "BeCd3Hg", "functional": "PBE-GGA", "state": "optimized geometry", "lattice": [[-0.142, 0.721, 4.795], [-4.487, -1.839, 0.143], [1.839, -4.431, 0.721]], "species": ["Be", "Hg", "Cd", "Cd", "Cd"], "fractional_positions": [[0.000, 0.000, 0.000], [0.500, 0.500, 0.500], [0.000, 0.500, 0.000], [0.000, 0.000, 0.500], [0.500, 0.000, 0.000]], "dos_ef_per_ev_atom": 0.311, "sg": "Pm-3m (221)", "final_energy_ry_per_atom": -0.0843}

# 4
{"formula": "RbReTe3", "functional": "PBE-GGA", "state": "optimized geometry", "lattice": [[-4.896, 2.368, 0.452], [-1.842, -4.335, 2.756], [1.554, 2.320, 4.688]], "species": ["Re", "Te", "Te", "Te", "Rb"], "fractional_positions": [[0.000, 0.000, 0.000], [0.000, 0.500, 0.000], [0.000, 0.000, 0.500], [0.500, 0.000, 0.000], [0.500, 0.500, 0.500]], "dos_ef_per_ev_atom": 1.091, "sg": "Pm-3m (221)", "final_energy_ry_per_atom": -0.3214}

# 5
{"formula": "PmGdTm2", "functional": "PBE-GGA", "state": "optimized geometry", "lattice": [[-2.678, 1.497, -1.814], [1.497, -1.034, -3.064], [-5.075, -8.576, 0.413]], "species": ["Gd", "Tm", "Tm", "Pm"], "fractional_positions": [[0.500, 0.500, 0.500], [0.000, 0.000, 0.748], [0.000, 0.000, 0.252], [0.500, 0.500, 0.000]], "dos_ef_per_ev_atom": 1.691, "sg": "P4/mmm (123)", "final_energy_ry_per_atom": -0.5082}

# 6
{"formula": "Ho2B4Os3", "functional": "PBE-GGA", "state": "optimized geometry", "lattice": [[5.375, 0.072, 0.000], [-2.434, 4.793, 0.000], [-1.470, -2.433, 4.832]], "species": ["Ho", "Ho", "B", "B", "B", "B", "Os", "Os", "Os"], "fractional_positions": [[0.657, 0.657, 0.315], [0.343, 0.343, 0.685], [0.050, 0.618, 0.668], [0.618, 0.050, 0.668], [0.950, 0.382, 0.332], [0.382, 0.950, 0.332], [0.500, 0.000, 0.000], [0.000, 0.000, 0.000], [0.000, 0.500, 0.000]], "dos_ef_per_ev_atom": 0.768, "sg": "Fmmm (69)", "final_energy_ry_per_atom": -0.5694}

- What is the formula in the third record?
  BeCd3Hg